[1]
Computed, not measured: a relaxed structure of CsGa2AsCl at the PBE level of DFT.

Calculated values
**Symmetry**: P4/mmm
**Energy relative to the elements, uncorrected**: 0.165 eV/atom

a b c (Å): 5.5602 5.4247 5.5602
angles (deg): 90.00 90.00 90.00
Last column: nearest neighbours and their distance in Å.
Fractional coordinates of all 5 atoms:
Cs: 0.5000 0.5000 0.5000  8 Ga 3.88, 4 As 3.93
Ga: 0.5000 0.0000 0.0000  2 Cl 2.78
Ga: 0.0000 0.0000 0.5000  2 Cl 2.78
As: 0.0000 0.5000 0.0000  2 Cl 2.71
Cl: 0.0000 0.0000 0.0000  2 As 2.71, 4 Ga 2.78

=====

[2]
Computed, not measured: a relaxed structure of Cs2AsHCl6 at the PBE level of DFT.

Calculated values
**Energy above the most stable polymorph in this dataset**: 0.0 meV per atom
**Symmetry**: Cm

a b c (Å): 7.8661 7.8662 7.5778
angles (deg): 119.82 119.80 95.39
Last column: nearest neighbours and their distance in Å.
Fractional coordinates of all 10 atoms:
As: 0.0070 0.0074 0.0091  4 Cl 2.27-2.51
Cl: 0.2183 0.7877 0.9924  1 As 2.51
Cl: 0.7766 0.7769 0.9875  1 As 2.32
Cl: 0.6988 0.6995 0.4014  1 H 1.44
Cl: 0.2563 0.2569 0.9711  1 H 1.73
Cl: 0.2504 0.2506 0.4531  1 As 2.27
Cl: 0.7873 0.2188 0.9929  1 As 2.51
Cs: 0.2424 0.7649 0.4930  11 Cl 3.61-4.01, 1 H 3.72
Cs: 0.7643 0.2429 0.4930  11 Cl 3.61-4.01, 1 H 3.72
H: 0.4976 0.4983 0.2044  1 Cl 1.44

=====

[3]
Computed, not measured: a relaxed structure of Cs2AsHCl6 at the PBE level of DFT.

Calculated values
**Energy above the most stable polymorph in this dataset**: 291.1 meV per atom
**Symmetry**: I4/mmm

a b c (Å): 6.8296 6.8296 7.6207
angles (deg): 63.38 63.38 90.00
Last column: nearest neighbours and their distance in Å.
Fractional coordinates of all 10 atoms:
Cl: 0.7381 0.2619 0.0000  1 H 2.30, 1 As 2.53
Cl: 0.2619 0.2619 0.0000  1 H 2.30, 1 As 2.53
Cl: 0.2619 0.7381 0.0000  1 H 2.30, 1 As 2.53
Cl: 0.7381 0.7381 0.0000  1 H 2.30, 1 As 2.53
Cl: 0.7901 0.7901 0.4197  1 As 2.47
Cl: 0.2099 0.2099 0.5803  1 As 2.47
Cs: 0.2500 0.7500 0.5000  12 Cl 3.45-3.81
Cs: 0.7500 0.2500 0.5000  12 Cl 3.45-3.81
As: 0.0000 0.0000 0.0000  6 Cl 2.47-2.53
H: 0.5000 0.5000 0.0000  4 Cl 2.30